No. 1
The following is a DFT calculation (PBE-GGA) of ScFe3Ir after structural relaxation.

## Properties
Electronic total energy (Ry per atom): -0.536
Formation enthalpy at 0 K (eV/atom): 0.82
SG: Pm-3m (221)

Unit cell a=4.6285 b=4.6285 c=4.6285 alpha=90.00 beta=90.00 gamma=90.00
Atoms (fractional coordinates):
Sc1 0.0000 0.0000 0.0000
Fe1 0.0000 0.5000 0.5000
Fe2 0.5000 0.0000 0.5000
Fe3 0.5000 0.5000 0.0000
Ir1 0.5000 0.5000 0.5000

---

No. 2
The following is a DFT calculation (PBE-GGA) of Sc2FeIr after structural relaxation.

## Properties
Electronic total energy (Ry per atom): -0.577
Formation enthalpy at 0 K (eV/atom): -0.36
SG: I-4m2 (119)

Unit cell a=5.3760 b=5.3760 c=5.3760 alpha=138.63 beta=138.63 gamma=59.95
Atoms (fractional coordinates):
Sc1 0.0000 0.0000 0.0000
Sc2 0.7500 0.2500 0.5000
Fe1 0.2500 0.7500 0.5000
Ir1 0.5000 0.5000 0.0000

---

No. 3
The following is a DFT calculation (PBE-GGA) of Sc2FeIr after structural relaxation.

## Properties
Electronic total energy (Ry per atom): -0.591
Formation enthalpy at 0 K (eV/atom): -0.54
SG: P4/mmm (123)

Unit cell a=4.5262 b=4.5262 c=3.1538 alpha=90.00 beta=90.00 gamma=90.00
Atoms (fractional coordinates):
Sc1 0.0000 0.5000 0.0000
Sc2 0.5000 0.0000 0.0000
Fe1 0.0000 0.0000 0.5000
Ir1 0.5000 0.5000 0.5000

---

No. 4
The following is a DFT calculation (PBE-GGA) of ScFe3Ir after structural relaxation.

## Properties
Electronic total energy (Ry per atom): -0.463
Formation enthalpy at 0 K (eV/atom): 1.81
SG: Pm-3m (221)

Unit cell a=4.1874 b=4.1874 c=4.1874 alpha=90.00 beta=90.00 gamma=90.00
Atoms (fractional coordinates):
Sc1 0.0000 0.0000 0.0000
Fe1 0.0000 0.0000 0.5000
Fe2 0.0000 0.5000 0.0000
Fe3 0.5000 0.0000 0.0000
Ir1 0.5000 0.5000 0.5000

---

No. 5
The following is a DFT calculation (PBE-GGA) of ScFeIr2 after structural relaxation.

## Properties
Electronic total energy (Ry per atom): -0.630
Formation enthalpy at 0 K (eV/atom): -0.44
SG: P4/mmm (123)

Unit cell a=4.3257 b=4.3257 c=3.2576 alpha=90.00 beta=90.00 gamma=90.00
Atoms (fractional coordinates):
Sc1 0.0000 0.0000 0.0000
Fe1 0.5000 0.5000 0.0000
Ir1 0.0000 0.5000 0.5000
Ir2 0.5000 0.0000 0.5000

---

No. 6
The following is a DFT calculation (PBE-GGA) of Sc2FeIr2 after structural relaxation.

## Properties
Electronic total energy (Ry per atom): -0.575
Formation enthalpy at 0 K (eV/atom): -0.05
SG: P4/mbm (127)

Unit cell a=7.5349 b=7.5349 c=2.9934 alpha=90.00 beta=90.00 gamma=90.00
Atoms (fractional coordinates):
Sc1 0.1484 0.3516 0.0000
Sc2 0.3516 0.8516 0.0000
Sc3 0.6484 0.1484 0.0000
Sc4 0.8516 0.6484 0.0000
Fe1 0.0000 0.0000 0.0000
Fe2 0.5000 0.5000 0.0000
Ir1 0.1542 0.6542 0.5000
Ir2 0.3458 0.1542 0.5000
Ir3 0.6542 0.8458 0.5000
Ir4 0.8458 0.3458 0.5000

---

Question: electronic total energy of number 4 (ScFe3Ir)?
Answer: -0.463 Ry per atom

---

Question: formation enthalpy at 0 K of number 1 (ScFe3Ir)?
Answer: 0.82 eV/atom

---

Question: Look up the electronic total energy of the sixth one.
Answer: -0.575 Ry per atom